First-principles (PBE) data for K3Ba2PaTe6 after structural relaxation, as listed in Alexandria via LeMat-Bulk.

The structure belongs to space group C2/m (No. 12); the cell edges are 8.468, 14.653 and 8.626 Å and the angles 90.00°, 109.45° and 90.00°. The asymmetric unit holds K at (0.000, 0.000, 0.000), K at (0.000, 0.328, 0.000), Ba at (0.000, 0.166, 0.500), Pa at (0.000, 0.500, 0.500), Te at (0.219, 0.500, 0.283) and Te at (0.220, 0.353, 0.719).

For the volume, the calculation gives 1009.36 Å³/cell.


First-principles (PBE) data for K2BaPb after structural relaxation, as listed in Alexandria via LeMat-Bulk.

The structure belongs to space group R-3m (No. 166, hexagonal axes); the cell edges are 4.2215, 4.2215 and 41.0451 Å and the angles 90.00°, 90.00° and 120.00°. The asymmetric unit holds K at (0.0000, 0.0000, 0.2349), Ba at (0.0000, 0.0000, 0.0000) and Pb at (0.0000, 0.0000, 0.5000).

For the volume, the calculation gives 633.47 Å³/cell. As for the energy of formation: 114 meV/atom.


First-principles (PBE) data for K2BaPb after structural relaxation, as listed in Alexandria via LeMat-Bulk.

The structure belongs to space group I-42d (No. 122); the cell edges are 5.304, 5.304 and 27.762 Å and the angles 90.00°, 90.00° and 90.00°. The asymmetric unit holds K at (0.217, 0.250, 0.125), Ba at (0.000, 0.000, 0.500) and Pb at (0.000, 0.000, 0.000).

For the volume, the calculation gives 780.89 Å³/cell. As for the energy of formation: -28 meV/atom.


First-principles (PBE) data for K2BaPb after structural relaxation, as listed in Alexandria via LeMat-Bulk.

The structure belongs to space group I4/mmm (No. 139); the cell edges are 5.445, 5.445 and 12.255 Å and the angles 90.00°, 90.00° and 90.00°. The asymmetric unit holds K at (0.000, 0.500, 0.250), Ba at (0.000, 0.000, 0.000) and Pb at (0.000, 0.000, 0.500).

For the volume, the calculation gives 363.39 Å³/cell. As for the energy of formation: -107 meV/atom.


Final energy in eV/atom, matching the order above: -4.265, -1.842, -1.984, -2.063